# 1
# PBE-GGA RuRhAu2, relaxed
# crystal system = trigonal
# DFT formation energy = 0.711 eV/f.u.
# DFT total energy = -5.62 eV/atom
# excess energy over the best structure of this formula in the dataset = 0.67 kcal/mol of atoms
data_RuRhAu2
_chemical_formula_sum 'Ru3 Rh3 Au6'
_cell_length_a 2.8107
_cell_length_b 2.8107
_cell_length_c 28.2099
_cell_angle_alpha 90.00
_cell_angle_beta 90.00
_cell_angle_gamma 120.00
_symmetry_space_group_name_H-M 'R 3 m'
_symmetry_Int_Tables_number 160
_symmetry_space_group_name_Hall 'R 3 -2"'
loop_
_atom_site_label
_atom_site_type_symbol
_atom_site_fract_x
_atom_site_fract_y
_atom_site_fract_z
Ru1 Ru 0.0000 0.0000 0.0000
Rh1 Rh 0.0000 0.0000 0.7395
Au1 Au 0.0000 0.0000 0.2490
Au2 Au 0.0000 0.0000 0.4912

# 2
# PBE-GGA TmThScCd, relaxed
# crystal system = cubic
# DFT formation energy = 0.093 eV/f.u.
# DFT total energy = -4.76 eV/atom
# excess energy over the best structure of this formula in the dataset = 4.17 kcal/mol of atoms
data_TmThScCd
_chemical_formula_sum 'Tm4 Th4 Sc4 Cd4'
_cell_length_a 7.5871
_cell_length_b 7.5871
_cell_length_c 7.5871
_cell_angle_alpha 90.00
_cell_angle_beta 90.00
_cell_angle_gamma 90.00
_symmetry_space_group_name_H-M 'F -4 3 m'
_symmetry_Int_Tables_number 216
_symmetry_space_group_name_Hall 'F -4 2 3'
loop_
_atom_site_label
_atom_site_type_symbol
_atom_site_fract_x
_atom_site_fract_y
_atom_site_fract_z
Tm1 Tm 0.0000 0.0000 0.0000
Th1 Th 0.0000 0.0000 0.5000
Sc1 Sc 0.2500 0.2500 0.7500
Cd1 Cd 0.2500 0.2500 0.2500

# 3
# PBE-GGA Tb8Y4Er, relaxed
# crystal system = trigonal
# DFT formation energy = 6.698 eV/f.u.
# DFT total energy = -4.67 eV/atom
data_Tb8Y4Er
_chemical_formula_sum 'Tb24 Y12 Er3'
_cell_length_a 11.0005
_cell_length_b 11.0005
_cell_length_c 13.4371
_cell_angle_alpha 90.00
_cell_angle_beta 90.00
_cell_angle_gamma 120.00
_symmetry_space_group_name_H-M 'R -3 m'
_symmetry_Int_Tables_number 166
_symmetry_space_group_name_Hall '-R 3 2"'
loop_
_atom_site_label
_atom_site_type_symbol
_atom_site_fract_x
_atom_site_fract_y
_atom_site_fract_z
Tb1 Tb 0.0000 0.0000 0.2415
Tb2 Tb 0.0109 0.5055 0.7468
Y1 Y 0.0000 0.0000 0.0000
Y2 Y 0.0000 0.5000 0.0000
Er1 Er 0.0000 0.0000 0.5000

# 4
# PBE-GGA VIr3, relaxed
# crystal system = cubic
# DFT formation energy = -1.918 eV/f.u.
# DFT total energy = -9.40 eV/atom
data_VIr3
_chemical_formula_sum 'V1 Ir3'
_cell_length_a 3.8381
_cell_length_b 3.8381
_cell_length_c 3.8381
_cell_angle_alpha 90.00
_cell_angle_beta 90.00
_cell_angle_gamma 90.00
_symmetry_space_group_name_H-M 'P m -3 m'
_symmetry_Int_Tables_number 221
_symmetry_space_group_name_Hall '-P 4 2 3'
loop_
_atom_site_label
_atom_site_type_symbol
_atom_site_fract_x
_atom_site_fract_y
_atom_site_fract_z
V1 V 0.0000 0.0000 0.0000
Ir1 Ir 0.0000 0.5000 0.5000

# 5
# PBE-GGA KNdGd2, relaxed
# crystal system = trigonal
# DFT formation energy = 0.882 eV/f.u.
# DFT total energy = -8.29 eV/atom
data_KNdGd2
_chemical_formula_sum 'K3 Nd3 Gd6'
_cell_length_a 3.6499
_cell_length_b 3.6499
_cell_length_c 40.0744
_cell_angle_alpha 90.00
_cell_angle_beta 90.00
_cell_angle_gamma 120.00
_symmetry_space_group_name_H-M 'R -3 m'
_symmetry_Int_Tables_number 166
_symmetry_space_group_name_Hall '-R 3 2"'
loop_
_atom_site_label
_atom_site_type_symbol
_atom_site_fract_x
_atom_site_fract_y
_atom_site_fract_z
K1 K 0.0000 0.0000 0.0000
Nd1 Nd 0.0000 0.0000 0.5000
Gd1 Gd 0.0000 0.0000 0.0952

# 6
# PBE-GGA CeSmTc, relaxed
# crystal system = trigonal
# DFT formation energy = 0.266 eV/f.u.
# DFT total energy = -6.92 eV/atom
# excess energy over the best structure of this formula in the dataset = 3.22 kcal/mol of atoms
data_CeSmTc
_chemical_formula_sum 'Ce1 Sm1 Tc1'
_cell_length_a 4.7263
_cell_length_b 4.7263
_cell_length_c 3.5984
_cell_angle_alpha 90.00
_cell_angle_beta 90.00
_cell_angle_gamma 120.00
_symmetry_space_group_name_H-M 'P 3 m 1'
_symmetry_Int_Tables_number 156
loop_
_symmetry_equiv_pos_as_xyz
'x,y,z'
'-y,x-y,z'
'-x+y,-x,z'
'-y,-x,z'
'-x+y,y,z'
'x,x-y,z'
loop_
_atom_site_label
_atom_site_type_symbol
_atom_site_fract_x
_atom_site_fract_y
_atom_site_fract_z
Ce1 Ce 0.0000 0.0000 0.0000
Sm1 Sm 0.6667 0.3333 0.5762
Tc1 Tc 0.3333 0.6667 0.2278

# 7
# PBE-GGA Ti2Ni3Pt3, relaxed
# crystal system = orthorhombic
# DFT formation energy = -5.741 eV/f.u.
# DFT total energy = -7.12 eV/atom
data_Ti2Ni3Pt3
_chemical_formula_sum 'Ti2 Ni3 Pt3'
_cell_length_a 3.7466
_cell_length_b 3.8274
_cell_length_c 7.6232
_cell_angle_alpha 90.00
_cell_angle_beta 90.00
_cell_angle_gamma 90.00
_symmetry_space_group_name_H-M 'P m m m'
_symmetry_Int_Tables_number 47
loop_
_symmetry_equiv_pos_as_xyz
'x,y,z'
'-x,-y,-z'
'-x,-y,z'
'x,y,-z'
'x,-y,-z'
'-x,y,z'
'-x,y,-z'
'x,-y,z'
loop_
_atom_site_label
_atom_site_type_symbol
_atom_site_fract_x
_atom_site_fract_y
_atom_site_fract_z
Ti1 Ti 0.0000 0.0000 0.2422
Ni1 Ni 0.0000 0.5000 0.0000
Ni2 Ni 0.0000 0.5000 0.5000
Ni3 Ni 0.5000 0.0000 0.0000
Pt1 Pt 0.5000 0.0000 0.5000
Pt2 Pt 0.5000 0.5000 0.2410

# 8
# PBE-GGA Cd6Ag5Pt, relaxed
# crystal system = monoclinic
# DFT formation energy = -1.228 eV/f.u.
# DFT total energy = -2.25 eV/atom
data_Cd6Ag5Pt
_chemical_formula_sum 'Cd12 Ag10 Pt2'
_cell_length_a 13.7611
_cell_length_b 7.9965
_cell_length_c 4.3898
_cell_angle_alpha 90.00
_cell_angle_beta 108.42
_cell_angle_gamma 90.00
_symmetry_space_group_name_H-M 'C 1 2/m 1'
_symmetry_Int_Tables_number 12
loop_
_symmetry_equiv_pos_as_xyz
'x,y,z'
'-x,-y,-z'
'-x,y,-z'
'x,-y,z'
'x+1/2,y+1/2,z'
'-x+1/2,-y+1/2,-z'
'-x+1/2,y+1/2,-z'
'x+1/2,-y+1/2,z'
loop_
_atom_site_label
_atom_site_type_symbol
_atom_site_fract_x
_atom_site_fract_y
_atom_site_fract_z
Cd1 Cd 0.0000 0.2313 0.0000
Cd2 Cd 0.1637 0.2413 0.6634
Ag1 Ag 0.0000 0.5000 0.5000
Ag2 Ag 0.1596 0.5000 0.1596
Ag3 Ag 0.1770 0.0000 0.1766
Pt1 Pt 0.0000 0.0000 0.5000

# 9
# PBE-GGA LaScFe, relaxed
# crystal system = cubic
# DFT formation energy = 2.932 eV/f.u.
# DFT total energy = -5.60 eV/atom
# excess energy over the best structure of this formula in the dataset = 22.47 kcal/mol of atoms
data_LaScFe
_chemical_formula_sum 'La4 Sc4 Fe4'
_cell_length_a 6.5560
_cell_length_b 6.5560
_cell_length_c 6.5560
_cell_angle_alpha 90.00
_cell_angle_beta 90.00
_cell_angle_gamma 90.00
_symmetry_space_group_name_H-M 'F -4 3 m'
_symmetry_Int_Tables_number 216
_symmetry_space_group_name_Hall 'F -4 2 3'
loop_
_atom_site_label
_atom_site_type_symbol
_atom_site_fract_x
_atom_site_fract_y
_atom_site_fract_z
La1 La 0.0000 0.0000 0.0000
Sc1 Sc 0.2500 0.2500 0.2500
Fe1 Fe 0.2500 0.2500 0.7500

# 10
# PBE-GGA La6Dy3Pu, relaxed
# crystal system = monoclinic
# DFT formation energy = 2.161 eV/f.u.
# DFT total energy = -5.55 eV/atom
data_La6Dy3Pu
_chemical_formula_sum 'La12 Dy6 Pu2'
_cell_length_a 6.7706
_cell_length_b 9.8864
_cell_length_c 10.5251
_cell_angle_alpha 90.00
_cell_angle_beta 95.57
_cell_angle_gamma 90.00
_symmetry_space_group_name_H-M 'P 1 21/c 1'
_symmetry_Int_Tables_number 14
loop_
_symmetry_equiv_pos_as_xyz
'x,y,z'
'-x,-y,-z'
'-x,y+1/2,-z+1/2'
'x,-y+1/2,z+1/2'
loop_
_atom_site_label
_atom_site_type_symbol
_atom_site_fract_x
_atom_site_fract_y
_atom_site_fract_z
La1 La 0.0392 0.1605 0.0568
La2 La 0.2084 0.0661 0.7451
La3 La 0.4065 0.1380 0.4161
Dy1 Dy 0.2807 0.6845 0.7626
Dy2 Dy 0.5000 0.0000 0.0000
Pu1 Pu 0.0000 0.0000 0.5000

# 11
# PBE-GGA Ac2WN6, relaxed
# crystal system = cubic
# energy relative to the elements, uncorrected = 0.20 eV/atom
# DFT total energy = -7.70 eV/atom
data_Ac2WN6
_chemical_formula_sum 'Ac8 W4 N24'
_cell_length_a 8.0497
_cell_length_b 8.0497
_cell_length_c 8.0497
_cell_angle_alpha 90.00
_cell_angle_beta 90.00
_cell_angle_gamma 90.00
_symmetry_space_group_name_H-M 'F m -3 m'
_symmetry_Int_Tables_number 225
_symmetry_space_group_name_Hall '-F 4 2 3'
loop_
_atom_site_label
_atom_site_type_symbol
_atom_site_fract_x
_atom_site_fract_y
_atom_site_fract_z
Ac1 Ac 0.2500 0.2500 0.2500
W1 W 0.0000 0.0000 0.0000
N1 N 0.0000 0.0000 0.2472

# 12
# PBE-GGA AgH2Pt, relaxed
# crystal system = trigonal
# DFT total energy = -3.73 eV/atom
# excess energy over the best structure of this formula in the dataset = 2.41 kcal/mol of atoms
data_AgH2Pt
_chemical_formula_sum 'Ag3 H6 Pt3'
_cell_length_a 3.0110
_cell_length_b 3.0110
_cell_length_c 16.2194
_cell_angle_alpha 90.00
_cell_angle_beta 90.00
_cell_angle_gamma 120.00
_symmetry_space_group_name_H-M 'R -3 m'
_symmetry_Int_Tables_number 166
_symmetry_space_group_name_Hall '-R 3 2"'
loop_
_atom_site_label
_atom_site_type_symbol
_atom_site_fract_x
_atom_site_fract_y
_atom_site_fract_z
Ag1 Ag 0.0000 0.0000 0.0000
H1 H 0.0000 0.0000 0.1192
Pt1 Pt 0.0000 0.0000 0.5000